## BaLiH3 (meta-GGA SCAN)

Data for a PBEsol-optimized structure of BaLiH3.

Its total magnetization is 0.0 μB per cell. The final energy is -11.08 eV per atom.

The structure belongs to space group Pm-3m (No. 221); the cell edges are 3.958, 3.958 and 3.958 Å and the angles 90.00°, 90.00° and 90.00°. Symmetry generates all atoms from Ba at (0.000, 0.000, 0.000), Li at (0.500, 0.500, 0.500) and H at (0.000, 0.500, 0.500).


## Re3Au (meta-GGA SCAN)

Data for a PBEsol-optimized structure of Re3Au.

Its total magnetization is 0.0 μB per cell. The final energy is -70.41 eV per atom.

The structure belongs to space group R-3m (No. 166, hexagonal axes); the cell edges are 2.7603, 2.7603 and 27.5270 Å and the angles 90.00°, 90.00° and 120.00°. Symmetry generates all atoms from Re at (0.0000, 0.0000, 0.0000), Re at (0.0000, 0.0000, 0.2542) and Au at (0.0000, 0.0000, 0.5000).


## BePd3N (meta-GGA SCAN)

Data for a PBEsol-optimized structure of BePd3N.

Its total magnetization is 0.0 μB per cell. The calculation puts the energy relative to the elements, uncorrected at 0.2141 eV/atom.

The structure belongs to space group Pm-3m (No. 221); the cell edges are 4.014, 4.014 and 4.014 Å and the angles 90.00°, 90.00° and 90.00°. Symmetry generates all atoms from Be at (0.000, 0.000, 0.000), Pd at (0.000, 0.500, 0.500) and N at (0.500, 0.500, 0.500).


## CsNbInPd2 (meta-GGA SCAN)

Data for a PBEsol-optimized structure of CsNbInPd2.

Its total magnetization is 0.0 μB per cell. The final energy is -32.88 eV per atom.

The structure belongs to space group P4/mmm (No. 123); the cell edges are 4.909, 4.909 and 5.796 Å and the angles 90.00°, 90.00° and 90.00°. Symmetry generates all atoms from Cs at (0.000, 0.000, 0.000), Nb at (0.000, 0.000, 0.500), In at (0.500, 0.500, 0.000) and Pd at (0.000, 0.500, 0.500).


## LaGa2Pt3 (meta-GGA SCAN)

Data for a PBEsol-optimized structure of LaGa2Pt3.

Its total magnetization is 0.0 μB per cell. The final energy is -48.82 eV per atom.

The structure belongs to space group P6/mmm (No. 191); the cell edges are 5.5739, 5.5739 and 3.9959 Å and the angles 90.00°, 90.00° and 120.00°. Symmetry generates all atoms from La at (0.0000, 0.0000, 0.0000), Ga at (0.3333, 0.6667, 0.0000) and Pt at (0.0000, 0.5000, 0.5000).


## Mg3MnZn (meta-GGA SCAN)

Data for a PBEsol-optimized structure of Mg3MnZn.

Its total magnetization is 3.9 μB per cell. The final energy is -8.63 eV per atom.

The structure belongs to space group Pm-3m (No. 221); the cell edges are 5.029, 5.029 and 5.029 Å and the angles 90.00°, 90.00° and 90.00°. Symmetry generates all atoms from Mg at (0.000, 0.000, 0.500), Mn at (0.000, 0.000, 0.000) and Zn at (0.500, 0.500, 0.500).


## TbPd (meta-GGA SCAN)

Data for a PBEsol-optimized structure of TbPd.

Its total magnetization is 0.0 μB per cell. The final energy is -40.78 eV per atom.

The structure belongs to space group Pnma (No. 62); the cell edges are 6.838, 4.570 and 5.492 Å and the angles 90.00°, 90.00° and 90.00°. Symmetry generates all atoms from Tb at (0.182, 0.250, 0.143) and Pd at (0.042, 0.250, 0.653).


## BaNbCd2Sn (meta-GGA SCAN)

Data for a PBEsol-optimized structure of BaNbCd2Sn.

Its total magnetization is 2.5 μB per cell. The final energy is -32.19 eV per atom.

The structure belongs to space group P4/mmm (No. 123); the cell edges are 5.818, 5.818 and 5.243 Å and the angles 90.00°, 90.00° and 90.00°. Symmetry generates all atoms from Ba at (0.000, 0.000, 0.000), Nb at (0.000, 0.000, 0.500), Cd at (0.000, 0.500, 0.000) and Sn at (0.500, 0.500, 0.500).


## Li2CuP2O7 (meta-GGA SCAN)

Data for a PBEsol-optimized structure of Li2CuP2O7.

Its total magnetization is 4.0 μB per cell. The value obtained for the distance to the lowest polymorph of the same formula is 0.0 meV per atom. The calculation puts the energy relative to the elements, uncorrected at -2.2922 eV/atom.

The structure belongs to space group C2/c (No. 15); the cell edges are 15.347, 4.922 and 8.625 Å and the angles 90.00°, 115.28° and 90.00°. Symmetry generates all atoms from Li at (0.189, 0.144, 0.052), Cu at (0.000, 0.000, 0.000), P at (0.101, 0.364, 0.316), O at (0.000, 0.472, 0.750), O at (0.099, 0.151, 0.444), O at (0.102, 0.227, 0.156) and O at (0.180, 0.430, 0.892).


## K2Ag2Hg (meta-GGA SCAN)

Data for a PBEsol-optimized structure of K2Ag2Hg.

Its total magnetization is 0.0 μB per cell. The value obtained for the distance to the lowest polymorph of the same formula is 0.0 meV per atom.

The structure belongs to space group I4/mmm (No. 139); the cell edges are 3.814, 3.814 and 20.551 Å and the angles 90.00°, 90.00° and 90.00°. Symmetry generates all atoms from K at (0.000, 0.000, 0.113), Ag at (0.000, 0.500, 0.250) and Hg at (0.000, 0.000, 0.500).


## AgS2I (meta-GGA SCAN)

Data for a PBEsol-optimized structure of AgS2I.

Its total magnetization is 0.0 μB per cell. The value obtained for the distance to the lowest polymorph of the same formula is 379.4 meV per atom. The calculation puts the energy relative to the elements, uncorrected at 0.5527 eV/atom.

The structure belongs to space group R-3m (No. 166, hexagonal axes); the cell edges are 5.0487, 5.0487 and 13.4020 Å and the angles 90.00°, 90.00° and 120.00°. Symmetry generates all atoms from Ag at (0.0000, 0.0000, 0.0000), S at (0.0000, 0.0000, 0.1710) and I at (0.0000, 0.0000, 0.5000).


## TiTl2Ge3O9 (meta-GGA SCAN)

Data for a PBEsol-optimized structure of TiTl2Ge3O9.

Its total magnetization is 0.0 μB per cell. The calculation puts the energy relative to the elements, uncorrected at -1.9130 eV/atom.

The structure belongs to space group P6_3/m (No. 176); the cell edges are 6.9547, 6.9547 and 10.3707 Å and the angles 90.00°, 90.00° and 120.00°. Symmetry generates all atoms from Ti at (0.0000, 0.0000, 0.0000), Tl at (0.3333, 0.6667, 0.0534), Ge at (0.1194, 0.7533, 0.7500), O at (0.0025, 0.2325, 0.1072) and O at (0.0614, 0.4714, 0.7500).